{"formula": "Na2OsRhO6", "functional": "GGA-PBE", "state": "relaxed", "cell": [[-1.1809, 3.1976, -1.9456], [0.8526, -2.5887, -4.7720], [-5.1710, -1.8584, 0.0842]], "species": ["Na", "O", "Rh", "O", "O", "Os", "O", "O", "Na", "O"], "fractional_positions": [[0.1432, 0.0000, 0.5000], [0.1450, 0.0000, 0.0000], [0.6445, 0.5000, 0.5000], [0.6455, 0.7569, 0.7569], [0.6455, 0.7569, 0.2431], [0.6442, 0.0000, 0.0000], [0.6455, 0.2431, 0.2431], [0.6455, 0.2431, 0.7569], [0.1432, 0.5000, 0.0000], [0.1448, 0.5000, 0.5000]], "crystal_system": "tetragonal"}



{"formula": "NaOs2RuO8", "functional": "GGA-PBE", "state": "relaxed", "cell": [[-4.2413, 3.2149, -0.3199], [0.7757, -3.7652, -3.6943], [-3.9006, -4.7461, 4.0181]], "species": ["O", "O", "Ru", "O", "Os", "O", "Na", "O", "O", "Os", "O", "O"], "fractional_positions": [[0.3333, 0.6667, 0.9900], [0.7221, 0.0430, 0.3361], [0.0000, 0.0000, 0.5000], [0.3209, 0.2779, 0.3361], [0.3333, 0.6667, 0.7497], [0.9570, 0.6791, 0.3361], [0.0000, 0.0000, 0.0000], [0.0430, 0.3209, 0.6639], [0.6791, 0.7221, 0.6639], [0.6667, 0.3333, 0.2503], [0.2779, 0.9570, 0.6639], [0.6667, 0.3333, 0.0100]], "crystal_system": "trigonal"}



{"formula": "NaOsS2O8", "functional": "GGA-PBE", "state": "relaxed", "cell": [[-3.4554, -1.6504, 2.8682], [4.4390, -1.7498, 0.3506], [1.7724, 5.5658, 5.3381]], "species": ["O", "S", "O", "O", "O", "Os", "O", "S", "O", "Na", "O", "O"], "fractional_positions": [[0.9528, 0.6420, 0.3373], [0.3333, 0.6667, 0.7259], [0.6667, 0.3333, 0.0897], [0.0472, 0.3580, 0.6627], [0.6420, 0.6893, 0.6627], [0.0000, 0.0000, 0.5000], [0.3107, 0.9528, 0.6627], [0.6667, 0.3333, 0.2741], [0.3580, 0.3107, 0.3373], [0.0000, 0.0000, 0.0000], [0.3333, 0.6667, 0.9103], [0.6893, 0.0472, 0.3373]], "crystal_system": "trigonal"}



It is found that the energy relative to the elements, uncorrected values, taken in the order of the records, are -10.22, -10.75, -14.03 eV/f.u..
It is found that the spin magnetization values, taken in the order of the records, are 0.41, 0.00, 1.01 μB per cell.